The following is a GGA-PBE calculation of a geometry-optimized LaBeIr2 structure, from Alexandria via LeMat-Bulk.

Properties
energy of formation = -0.01 eV per atom
crystal system = tetragonal
total magnetization = 0.00 Bohr magnetons per cell

a b c (Å): 4.303 4.303 7.511
angles (deg): 90.00 90.00 90.00
Positions (direct):
La 0.000 0.000 0.000
La 0.500 0.500 0.500
Be 0.000 0.000 0.500
Be 0.500 0.500 0.000
Ir 0.000 0.500 0.250
Ir 0.000 0.500 0.750
Ir 0.500 0.000 0.250
Ir 0.500 0.000 0.750